Density functional theory data (PBE-GGA) for Pr3Tl4Zn2 after structural relaxation.

Summary:
As for the space group: C2/m (12). For the total energy, the calculation gives -29.14 eV/cell. For the formation energy, the calculation gives -310 meV/atom. Its mass density is 9.37 Mg/m³.

Unit cell a=6.3135 b=6.3135 c=9.2526 alpha=110.74 beta=110.74 gamma=45.49
Element x y z (fractional)
Pr (0.0000, 0.0000, 0.0000)
Pr (0.3367, 0.3367, 0.3318)
Pr (0.6633, 0.6633, 0.6682)
Tl (0.0815, 0.0815, 0.4062)
Tl (0.3125, 0.3125, 0.9678)
Tl (0.6875, 0.6875, 0.0322)
Tl (0.9185, 0.9185, 0.5938)
Zn (0.3789, 0.3789, 0.7101)
Zn (0.6211, 0.6211, 0.2899)

---

Density functional theory data (PBE-GGA) for Pr3Tl3Zn2 after structural relaxation.

Summary:
As for the space group: Cmcm (63). For the total energy, the calculation gives -53.22 eV/cell. For the formation energy, the calculation gives -328 meV/atom. Its mass density is 8.96 Mg/m³.

Unit cell a=6.2275 b=6.2275 c=15.8670 alpha=90.00 beta=90.00 gamma=135.33
Element x y z (fractional)
Pr (0.0853, 0.9147, 0.6099)
Pr (0.0853, 0.9147, 0.8901)
Pr (0.3584, 0.6416, 0.7500)
Pr (0.6416, 0.3584, 0.2500)
Pr (0.9147, 0.0853, 0.1099)
Pr (0.9147, 0.0853, 0.3901)
Tl (0.3544, 0.6456, 0.2500)
Tl (0.3749, 0.6251, 0.5377)
Tl (0.3749, 0.6251, 0.9623)
Tl (0.6251, 0.3749, 0.0377)
Tl (0.6251, 0.3749, 0.4623)
Tl (0.6456, 0.3544, 0.7500)
Zn (0.2077, 0.7923, 0.1070)
Zn (0.2077, 0.7923, 0.3930)
Zn (0.7923, 0.2077, 0.6070)
Zn (0.7923, 0.2077, 0.8930)

---

Density functional theory data (PBE-GGA) for Pr6TlZn after structural relaxation.

Summary:
As for the space group: C2/m (12). The energy above the most stable polymorph in this dataset is 0.222 eV/atom. For the total energy, the calculation gives -31.73 eV/cell. For the formation energy, the calculation gives 74 meV/atom. Its mass density is 6.66 Mg/m³.

Unit cell a=7.0850 b=7.0850 c=7.1966 alpha=103.61 beta=103.61 gamma=119.46
Element x y z (fractional)
Pr (0.0130, 0.4249, 0.2474)
Pr (0.2338, 0.2338, 0.7588)
Pr (0.4249, 0.0130, 0.2474)
Pr (0.5751, 0.9870, 0.7526)
Pr (0.7662, 0.7662, 0.2412)
Pr (0.9870, 0.5751, 0.7526)
Tl (0.5000, 0.5000, 0.5000)
Zn (0.0000, 0.0000, 0.0000)

---

Density functional theory data (PBE-GGA) for Pr8Tl5Zn after structural relaxation.

Summary:
As for the space group: I-4 (82). For the total energy, the calculation gives -54.94 eV/cell. For the formation energy, the calculation gives -257 meV/atom. Its mass density is 8.24 Mg/m³.

Unit cell a=8.3380 b=8.3380 c=8.3380 alpha=109.53 beta=109.53 gamma=109.36
Element x y z (fractional)
Pr (0.1287, 0.3783, 0.1007)
Pr (0.1361, 0.3782, 0.6116)
Pr (0.2776, 0.0280, 0.8993)
Pr (0.4755, 0.8639, 0.2421)
Pr (0.6218, 0.2334, 0.7579)
Pr (0.6217, 0.7224, 0.7504)
Pr (0.7666, 0.5245, 0.3884)
Pr (0.9720, 0.8713, 0.2496)
Tl (0.2500, 0.7500, 0.5000)
Tl (0.3746, 0.2445, 0.3718)
Tl (0.7555, 0.1273, 0.1301)
Tl (0.8727, 0.0028, 0.6282)
Tl (0.9972, 0.6254, 0.8699)
Zn (0.5000, 0.5000, 0.0000)

---

Density functional theory data (PBE-GGA) for PrTlZn4 after structural relaxation.

Summary:
As for the space group: F-43m (216). For the total energy, the calculation gives -12.93 eV/cell. For the formation energy, the calculation gives -115 meV/atom. Its mass density is 8.12 Mg/m³.

Unit cell a=5.5995 b=5.5995 c=5.5995 alpha=60.00 beta=60.00 gamma=60.00
Element x y z (fractional)
Pr (0.0000, 0.0000, 0.0000)
Tl (0.7500, 0.7500, 0.7500)
Zn (0.3743, 0.3743, 0.3743)
Zn (0.3743, 0.3743, 0.8771)
Zn (0.3743, 0.8771, 0.3743)
Zn (0.8771, 0.3743, 0.3743)

---

Density functional theory data (PBE-GGA) for PrTl2Zn after structural relaxation.

Summary:
As for the space group: P4/mmm (123). For the total energy, the calculation gives -11.77 eV/cell. For the formation energy, the calculation gives -245 meV/atom. Its mass density is 9.82 Mg/m³.

Unit cell a=4.7093 b=4.7093 c=4.6893 alpha=90.00 beta=90.00 gamma=90.00
Element x y z (fractional)
Pr (0.0000, 0.0000, 0.0000)
Tl (0.0000, 0.5000, 0.5000)
Tl (0.5000, 0.0000, 0.5000)
Zn (0.5000, 0.5000, 0.0000)